Below is a relaxed La3Cd9Au2 crystal, with properties calculated at the GGA-PBE level.

Output
* uncorrected energy: -0.091 hartree per atom
* size of the total moment: 0.00 μB per atom
* density of states at the Fermi level: 0.797 states/eV per atom

Unit cell a=4.9177 b=10.1568 c=13.9181 alpha=90.00 beta=90.00 gamma=90.00
Space group Immm (No. 71)
Inequivalent atoms, fractional coordinates:
La 0.0000 0.0000 0.0000 x2
La 0.0000 0.0000 0.3041 x4
Cd 0.0000 0.2815 0.1350 x8
Cd 0.0000 0.3623 0.3423 x8
Cd 0.0000 0.5000 0.0000 x2
Au 0.0000 0.1780 0.5000 x4